{"formula": "SrPrGdCoO6", "functional": "GGA+U", "state": "relaxed", "total_magnetization_mub_per_fu": 8.006, "rho_g_cm3": 6.8, "n_ef_per_ev_atom": 0.574, "de_polymorph_mev_per_atom": 132, "vol_a3_per_atom": 13.267, "lattice": [[0.000, 4.048, 4.048], [4.048, 0.000, 4.048], [4.048, 4.048, 0.000]], "species": ["Sr", "Pr", "Gd", "Co", "O", "O", "O", "O", "O", "O"], "frac_coords": [[0.000, 0.000, 0.000], [0.500, 0.500, 0.500], [0.750, 0.750, 0.750], [0.250, 0.250, 0.250], [0.020, 0.020, 0.480], [0.020, 0.480, 0.020], [0.020, 0.480, 0.480], [0.480, 0.020, 0.020], [0.480, 0.020, 0.480], [0.480, 0.480, 0.020]]}